DFT (PBE-GGA) results for crystalline KCd4Tc at its relaxed geometry.

Results
**E_form**: 11.7 kcal/mol of atoms
**SG**: F-43m

Unit cell a=5.855 b=5.855 c=5.855 alpha=60.00 beta=60.00 gamma=60.00
Fractional positions:
Tc1 0.000 0.000 0.000
Cd1 0.374 0.878 0.374
Cd2 0.374 0.374 0.374
Cd3 0.374 0.374 0.878
Cd4 0.878 0.374 0.374
K1 0.750 0.750 0.750

=====

DFT (PBE-GGA) results for crystalline CsZnSbH2 at its relaxed geometry.

Results
**Offset from the most stable computed form**: 54.1 meV per atom
**SG**: P3m1

Unit cell a=4.813 b=4.813 c=5.962 alpha=90.00 beta=90.00 gamma=120.00
Fractional positions:
Cs1 0.333 0.667 0.329
Zn1 0.000 0.000 0.780
Sb1 0.667 0.333 0.858
H1 0.000 0.000 0.502
H2 0.667 0.333 0.566

=====

DFT (PBE-GGA) results for crystalline TcAsAu2 at its relaxed geometry.

Results
**E_form**: 3.2 kcal/mol of atoms
**SG**: P4mm

Unit cell a=3.206 b=3.204 c=7.359 alpha=64.18 beta=90.00 gamma=90.00
Fractional positions:
Au1 0.000 0.005 0.995
Au2 0.500 0.239 0.261
As1 0.500 0.792 0.708
Tc1 0.000 0.464 0.536

=====

DFT (PBE-GGA) results for crystalline Mg5Al2Ag12 at its relaxed geometry.

Results
**Offset from the most stable computed form**: 0.0 meV per atom
**E_form**: -2.9 kcal/mol of atoms
**SG**: C2/m

Unit cell a=6.693 b=7.819 c=7.756 alpha=120.27 beta=90.17 gamma=90.00
Fractional positions:
Ag1 0.345 0.581 0.759
Ag2 0.237 0.971 0.317
Ag3 0.307 0.556 0.113
Ag4 0.763 0.029 0.683
Ag5 0.655 0.822 0.241
Ag6 0.237 0.347 0.317
Ag7 0.763 0.653 0.683
Ag8 0.111 0.906 0.811
Ag9 0.655 0.419 0.241
Ag10 0.889 0.094 0.189
Ag11 0.693 0.444 0.887
Ag12 0.345 0.178 0.759
Mg1 0.019 0.305 0.609
Mg2 0.981 0.695 0.391
Mg3 0.568 0.240 0.480
Mg4 0.432 0.760 0.520
Mg5 0.500 0.000 0.000
Al1 0.000 0.705 0.000
Al2 0.000 0.295 0.000

=====

DFT (PBE-GGA) results for crystalline HfCrIn2 at its relaxed geometry.

Results
**Offset from the most stable computed form**: 122.4 meV per atom
**E_form**: 5.6 kcal/mol of atoms
**SG**: Fm-3m

Unit cell a=4.874 b=4.874 c=4.874 alpha=60.00 beta=60.00 gamma=60.00
Fractional positions:
Cr1 0.000 0.000 0.000
Hf1 0.500 0.500 0.500
In1 0.750 0.750 0.750
In2 0.250 0.250 0.250

=====

DFT (PBE-GGA) results for crystalline CsRbCdHg at its relaxed geometry.

Results
**Offset from the most stable computed form**: 70.7 meV per atom
**E_form**: -1.7 kcal/mol of atoms
**SG**: F-43m

Unit cell a=6.492 b=6.492 c=6.492 alpha=60.00 beta=60.00 gamma=60.00
Fractional positions:
Hg1 0.750 0.750 0.750
Rb1 0.000 0.000 0.000
Cs1 0.500 0.500 0.500
Cd1 0.250 0.250 0.250

=====

DFT (PBE-GGA) results for crystalline Y2TcW at its relaxed geometry.

Results
**Offset from the most stable computed form**: 0.0 meV per atom
**E_form**: 1.7 kcal/mol of atoms
**SG**: P4mm

Unit cell a=3.231 b=3.231 c=8.700 alpha=90.00 beta=90.00 gamma=90.00
Fractional positions:
Y1 0.000 0.000 0.942
Y2 0.500 0.500 0.315
Tc1 0.000 0.000 0.545
W1 0.500 0.500 0.698

=====

DFT (PBE-GGA) results for crystalline TaInRh2 at its relaxed geometry.

Results
**E_form**: -1.7 kcal/mol of atoms
**SG**: P4mm

Unit cell a=2.929 b=2.929 c=7.829 alpha=90.00 beta=90.00 gamma=90.00
Fractional positions:
Rh1 0.000 0.000 0.006
Rh2 0.500 0.500 0.247
Ta1 0.000 0.000 0.475
In1 0.500 0.500 0.771

=====

Number 1: Fermi-level density of states 5.512 states/eV/cell, total energy -0.1481 Ry/atom, total magnetization 3.20 μB/cell. Number 2: Fermi-level density of states 0.002 states/eV/cell, total energy -0.2007 Ry/atom, total magnetization 0.00 μB/cell. Number 3: Fermi-level density of states 3.099 states/eV/cell, total energy -0.3860 Ry/atom, total magnetization 0.00 μB/cell. Number 4: Fermi-level density of states 4.307 states/eV/cell, total energy -0.2014 Ry/atom, total magnetization 0.00 μB/cell. Number 5: Fermi-level density of states 3.365 states/eV/cell, total energy -0.4424 Ry/atom, total magnetization 3.54 μB/cell. Number 6: Fermi-level density of states 4.296 states/eV/cell, total energy -0.0612 Ry/atom, total magnetization 0.00 μB/cell. Number 7: Fermi-level density of states 4.845 states/eV/cell, total energy -0.6605 Ry/atom, total magnetization 0.00 μB/cell. Number 8: Fermi-level density of states 4.822 states/eV/cell, total energy -0.5436 Ry/atom, total magnetization 0.00 μB/cell.